1.
# CsIr2O7

An optimized crystal structure of CsIr2O7 (GGA-PBE, Alexandria via LeMat-Bulk).

density of states at the Fermi level = 0.78 states/eV per atom
total magnetization = 0.000 μB/atom
formation energy without anion corrections = -0.4528 eV/atom

a = 3.8660 Å, b = 6.2881 Å, c = 6.2881 Å
α = 120.93°, β = 90.00°, γ = 90.00°
With the nearest neighbours (Å) after each atom.
Atoms (fractional coordinates):
O1 0.5000 0.3444 0.0340  2 Ir 1.95-2.10
O2 0.5000 0.0340 0.3444  2 Ir 1.95-2.10
Ir1 0.5000 0.6854 0.3146  7 O 1.93-2.10
O3 0.0000 0.3069 0.6931  2 Ir 1.93
O4 0.5000 0.9660 0.6556  2 Ir 1.95-2.10
O5 0.5000 0.6556 0.9660  2 Ir 1.95-2.10
Ir2 0.5000 0.3146 0.6854  7 O 1.93-2.10
Cs1 0.0000 0.0000 0.0000  8 O 2.83
O6 0.0000 0.6931 0.3069  2 Ir 1.93
O7 0.5000 0.5000 0.5000  2 Ir 2.03

---

2.
# Ac4Mg5Hg2

An optimized crystal structure of Ac4Mg5Hg2 (GGA-PBE, Alexandria via LeMat-Bulk).

formation enthalpy at 0 K = -0.14 eV/atom
density of states at the Fermi level = 1.00 states/eV per atom
total magnetization = 0.000 μB/atom

a = 3.8321 Å, b = 8.4230 Å, c = 11.0960 Å
α = 93.83°, β = 90.00°, γ = 90.00°
With the nearest neighbours (Å) after each atom.
Atoms (fractional coordinates):
Mg1 0.0000 0.7935 0.8338  2 Mg 3.18-3.20, 1 Hg 3.19
Mg2 0.0000 0.5616 0.2891  2 Mg 3.20-3.22, 1 Hg 3.23
Ac1 0.5000 0.7352 0.5511  4 Hg 3.43, 6 Mg 3.68-3.70, 2 Ac 3.83
Mg3 0.0000 0.4384 0.7109  2 Mg 3.20-3.22, 1 Hg 3.23
Ac2 0.5000 0.8383 0.1197  2 Hg 3.33, 8 Mg 3.61-3.70
Hg1 0.0000 0.9405 0.3582  2 Mg 3.19-3.23, 1 Hg 3.24, 6 Ac 3.33-3.43
Hg2 0.0000 0.0595 0.6418  2 Mg 3.19-3.23, 1 Hg 3.24, 6 Ac 3.33-3.43
Mg4 0.0000 0.5000 0.0000  4 Mg 3.18-3.22
Ac3 0.5000 0.2648 0.4489  4 Hg 3.43, 6 Mg 3.68-3.70, 2 Ac 3.83
Ac4 0.5000 0.1617 0.8803  2 Hg 3.33, 8 Mg 3.61-3.70
Mg5 0.0000 0.2065 0.1662  2 Mg 3.18-3.20, 1 Hg 3.19

---

3.
# ZrPa2WN6

An optimized crystal structure of ZrPa2WN6 (GGA-PBE, Alexandria via LeMat-Bulk).

density of states at the Fermi level = 0.61 states/eV per atom
total magnetization = 0.000 μB/atom
formation energy without anion corrections = -1.2387 eV/atom

a = 5.7011 Å, b = 5.7010 Å, c = 5.7964 Å
α = 60.54°, β = 60.54°, γ = 60.00°
With the nearest neighbours (Å) after each atom.
Atoms (fractional coordinates):
Pa1 0.0311 0.0311 0.9067  6 N 2.26-2.40
N1 0.1903 0.9667 0.2542  1 W 2.02
Pa2 0.5292 0.5292 0.4123  6 N 2.34
N2 0.1126 0.4384 0.7645  1 Zr 2.13, 1 W 2.16, 2 Pa 2.26-2.34
N3 0.5886 0.1903 0.2543  1 W 2.02
Zr1 0.8063 0.8063 0.5810  6 N 2.13-2.33
W1 0.3137 0.3137 0.0589  6 N 2.02-2.16
N4 0.9668 0.5886 0.2543  1 W 2.02
N5 0.4384 0.6845 0.7644  1 Zr 2.13, 1 W 2.16, 2 Pa 2.26-2.34
N6 0.6845 0.1127 0.7645  1 Zr 2.13, 1 W 2.16, 2 Pa 2.26-2.34

---

4.
# Tl2NiICl6

An optimized crystal structure of Tl2NiICl6 (GGA-PBE, Alexandria via LeMat-Bulk).

total magnetization = 0.091 μB/atom
formation energy without anion corrections = -0.6206 eV/atom

a = 7.3312 Å, b = 7.4154 Å, c = 9.2552 Å
α = 53.03°, β = 51.28°, γ = 76.65°
With the nearest neighbours (Å) after each atom.
Atoms (fractional coordinates):
Cl1 0.9244 0.7520 0.3415  1 Ni 2.23
Cl2 0.6811 0.1895 0.1795  1 I 2.56, 1 Ni 2.58
Cl3 0.0756 0.2480 0.6585  1 Ni 2.23
Cl4 0.3189 0.8105 0.8205  1 I 2.56, 1 Ni 2.58
Ni1 0.0000 0.0000 0.0000  4 Cl 2.23-2.24
Tl1 0.7844 0.2896 0.4565  4 Cl 3.13-3.48
I1 0.5000 0.5000 0.0000  2 Cl 2.56
Cl5 0.7190 0.7619 0.1216  1 Ni 2.24
Cl6 0.2810 0.2381 0.8784  1 Ni 2.24
Tl2 0.2156 0.7104 0.5435  4 Cl 3.13-3.48

---

5.
# NaYTl4

An optimized crystal structure of NaYTl4 (GGA-PBE, Alexandria via LeMat-Bulk).

formation enthalpy at 0 K = -0.15 eV/atom
density of states at the Fermi level = 0.39 states/eV per atom
total magnetization = 0.000 μB/atom

a = 3.7614 Å, b = 5.1674 Å, c = 8.8417 Å
α = 90.03°, β = 91.74°, γ = 90.00°
With the nearest neighbours (Å) after each atom.
Atoms (fractional coordinates):
Na1 0.7307 0.4968 0.0336  8 Tl 3.23-3.48
Tl1 0.3495 0.4972 0.3646  3 Tl 3.21-3.28, 4 Y 3.24-3.39, 1 Na 3.30
Tl2 0.9700 0.4977 0.6852  5 Tl 3.21-3.47, 1 Na 3.23, 2 Y 3.29
Tl3 0.2105 0.9969 0.1413  3 Tl 3.13-3.28, 1 Y 3.23, 4 Na 3.28-3.39
Y1 0.8221 0.9975 0.4623  9 Tl 3.23-3.60
Tl4 0.4250 0.9976 0.8018  5 Tl 3.13-3.47, 1 Y 3.39, 2 Na 3.47-3.48

---

6.
# Rb2WI6Br

An optimized crystal structure of Rb2WI6Br (GGA-PBE, Alexandria via LeMat-Bulk).

density of states at the Fermi level = 1.35 states/eV per atom
total magnetization = 0.100 μB/atom
formation energy without anion corrections = -0.5166 eV/atom

a = 8.7163 Å, b = 8.7163 Å, c = 8.7871 Å
α = 60.27°, β = 60.27°, γ = 90.00°
With the nearest neighbours (Å) after each atom.
Atoms (fractional coordinates):
I1 0.2200 0.2200 0.5600  1 W 2.76
Rb1 0.2500 0.7500 0.5000  12 I 4.37-4.41
I2 0.7763 0.7763 0.0000  1 W 2.76
I3 0.2237 0.7763 0.0000  1 W 2.76
Br1 0.5000 0.5000 0.0000  6 I 3.41-3.51
I4 0.7763 0.2237 0.0000  1 W 2.76
Rb2 0.7500 0.2500 0.5000  12 I 4.37-4.41
I5 0.2237 0.2237 0.0000  1 W 2.76
I6 0.7800 0.7800 0.4400  1 W 2.76
W1 0.0000 0.0000 0.0000  6 I 2.76

---

7.
# BaMgCuGe2

An optimized crystal structure of BaMgCuGe2 (GGA-PBE, Alexandria via LeMat-Bulk).

formation enthalpy at 0 K = -0.37 eV/atom
density of states at the Fermi level = 0.36 states/eV per atom
total magnetization = 0.000 μB/atom

a = 4.5217 Å, b = 4.5217 Å, c = 6.4106 Å
α = 110.65°, β = 110.65°, γ = 90.00°
With the nearest neighbours (Å) after each atom.
Atoms (fractional coordinates):
Ge1 0.3806 0.3806 0.7612  1 Ge 2.65, 2 Mg 2.69, 2 Cu 2.69
Cu1 0.2500 0.7500 0.5000  4 Ge 2.69
Ba1 0.0000 0.0000 0.0000  8 Ge 3.46, 4 Mg 3.58, 4 Cu 3.58
Ge2 0.6194 0.6194 0.2388  1 Ge 2.65, 2 Mg 2.69, 2 Cu 2.69
Mg1 0.7500 0.2500 0.5000  4 Ge 2.69

---

8.
# TlPdN2O

An optimized crystal structure of TlPdN2O (GGA-PBE, Alexandria via LeMat-Bulk).

density of states at the Fermi level = 0.37 states/eV per atom
total magnetization = 0.478 μB/atom
formation energy without anion corrections = 1.1353 eV/atom

a = 4.0146 Å, b = 4.0146 Å, c = 4.2652 Å
α = 90.00°, β = 90.00°, γ = 90.00°
With the nearest neighbours (Å) after each atom.
Atoms (fractional coordinates):
N1 0.5000 0.0000 0.0000  2 Pd 2.01
O1 0.0000 0.0000 0.5000  2 Pd 2.13
Tl1 0.5000 0.5000 0.5000  4 O 2.84, 8 N 2.93
N2 0.0000 0.5000 0.0000  2 Pd 2.01
Pd1 0.0000 0.0000 0.0000  4 N 2.01, 2 O 2.13

---

9.
# Sb2PtWI

An optimized crystal structure of Sb2PtWI (GGA-PBE, Alexandria via LeMat-Bulk).

density of states at the Fermi level = 1.01 states/eV per atom
total magnetization = 0.000 μB/atom
energy relative to the lowest polymorph listed for this composition = 0.000 eV/atom
formation energy without anion corrections = 1.1202 eV/atom

a = 5.2482 Å, b = 5.2482 Å, c = 5.1874 Å
α = 90.00°, β = 90.00°, γ = 90.00°
With the nearest neighbours (Å) after each atom.
Atoms (fractional coordinates):
I1 0.0000 0.0000 0.5000  2 W 2.59
W1 0.0000 0.0000 0.0000  2 I 2.59, 4 Sb 2.62
Sb1 0.0000 0.5000 0.0000  2 W 2.62
Pt1 0.5000 0.5000 0.5000  8 Sb 3.69, 4 I 3.71
Sb2 0.5000 0.0000 0.0000  2 W 2.62

---

10.
# Be2GaAu2

An optimized crystal structure of Be2GaAu2 (GGA-PBE, Alexandria via LeMat-Bulk).

formation enthalpy at 0 K = 0.17 eV/atom
density of states at the Fermi level = 0.31 states/eV per atom
total magnetization = 0.000 μB/atom
energy relative to the lowest polymorph listed for this composition = 0.199 eV/atom

a = 4.1533 Å, b = 4.1533 Å, c = 5.5048 Å
α = 67.84°, β = 67.84°, γ = 90.00°
With the nearest neighbours (Å) after each atom.
Atoms (fractional coordinates):
Au1 0.2500 0.7500 0.5000  4 Be 2.41
Be1 0.3807 0.3807 0.2386  1 Be 2.22, 4 Au 2.41
Au2 0.7500 0.2500 0.5000  4 Be 2.41
Ga1 0.0000 0.0000 0.0000  8 Au 3.12, 8 Be 3.14
Be2 0.6193 0.6193 0.7614  1 Be 2.22, 4 Au 2.41

---

11.
# Ce5Tm3As8

An optimized crystal structure of Ce5Tm3As8 (GGA-PBE, Alexandria via LeMat-Bulk).

formation enthalpy at 0 K = -1.45 eV/atom
density of states at the Fermi level = 1.71 states/eV per atom
total magnetization = 0.212 μB/atom

a = 8.3246 Å, b = 8.3246 Å, c = 8.3150 Å
α = 59.96°, β = 59.96°, γ = 60.00°
With the nearest neighbours (Å) after each atom.
Atoms (fractional coordinates):
As1 0.7560 0.2500 0.7439  2 Tm 2.91, 4 Ce 2.94-2.98
Tm1 0.5000 0.0000 0.5000  6 As 2.91
Tm2 0.0000 0.5000 0.5000  6 As 2.91
Tm3 0.0000 0.0000 0.5000  6 As 2.91
As2 0.7526 0.7526 0.7421  3 Tm 2.91, 3 Ce 2.97
As3 0.2474 0.2474 0.2579  3 Tm 2.91, 3 Ce 2.97
Ce1 0.0000 0.0000 0.0000  6 As 2.94
Ce2 0.5000 0.5000 0.5000  6 As 2.94
As4 0.2440 0.7500 0.2561  2 Tm 2.91, 4 Ce 2.94-2.98
As5 0.2500 0.7560 0.7439  2 Tm 2.91, 4 Ce 2.94-2.98
Ce3 0.0000 0.5000 0.0000  6 As 2.97-2.98
Ce4 0.5000 0.0000 0.0000  6 As 2.97-2.98
As6 0.2500 0.2500 0.7439  2 Tm 2.91, 4 Ce 2.94-2.98
Ce5 0.5000 0.5000 0.0000  6 As 2.97-2.98
As7 0.7500 0.7500 0.2561  2 Tm 2.91, 4 Ce 2.94-2.98
As8 0.7500 0.2440 0.2561  2 Tm 2.91, 4 Ce 2.94-2.98

---

12.
# SiBi2AuI

An optimized crystal structure of SiBi2AuI (GGA-PBE, Alexandria via LeMat-Bulk).

density of states at the Fermi level = 0.75 states/eV per atom
total magnetization = 0.000 μB/atom
formation energy without anion corrections = 0.4759 eV/atom

a = 5.9389 Å, b = 4.5242 Å, c = 5.9389 Å
α = 90.00°, β = 90.00°, γ = 90.00°
With the nearest neighbours (Å) after each atom.
Atoms (fractional coordinates):
Bi1 0.5000 0.0000 0.0000  2 Au 2.97
Bi2 0.0000 0.0000 0.5000  2 Au 2.97
Si1 0.0000 0.5000 0.0000  2 Au 2.26
Au1 0.0000 0.0000 0.0000  2 Si 2.26
I1 0.5000 0.5000 0.5000  8 Bi 3.73

---

Number 2 is which compound?
Ac4Mg5Hg2

---

Which of these has the highest total magnetization?
TlPdN2O

---

What is the formula in the ninth record?
Sb2PtWI